# 1
DFT (PBE-GGA) results for a geometry-optimized TbPmAl3 structure.

Properties
Density ... 5.49 Mg/m³
Energy relative to the elements ... -0.449 eV per atom
Crystal system ... orthorhombic

Unit cell a=3.675 b=27.785 c=4.561 alpha=90.00 beta=90.00 gamma=90.00
Space group Cmcm (No. 63)
Unique sites:
Tb 0.000 0.211 0.250 (multiplicity 4)
Pm 0.000 0.072 0.750 (multiplicity 4)
Al 0.000 0.328 0.250 (multiplicity 4)
Al 0.000 0.380 0.750 (multiplicity 4)
Al 0.000 0.476 0.750 (multiplicity 4)

***

# 2
DFT (PBE-GGA) results for a geometry-optimized TbPm2Al structure.

Properties
E above lowest polymorph ... 156 meV/atom
Density ... 6.42 Mg/m³
Energy relative to the elements ... -0.031 eV per atom
Crystal system ... trigonal

Unit cell a=3.6594 b=3.6594 c=31.8562 alpha=90.00 beta=90.00 gamma=120.00
Space group R3m (No. 160, hexagonal axes)
Unique sites:
Tb 0.0000 0.0000 0.0000 (multiplicity 3)
Pm 0.0000 0.0000 0.5727 (multiplicity 3)
Pm 0.0000 0.0000 0.7604 (multiplicity 3)
Al 0.0000 0.0000 0.1662 (multiplicity 3)

***

# 3
DFT (PBE-GGA) results for a geometry-optimized Tb3Pm2Al3 structure.

Properties
E above lowest polymorph ... 0 meV/atom
Density ... 6.66 Mg/m³
Energy relative to the elements ... -0.278 eV per atom
Crystal system ... orthorhombic

Unit cell a=3.726 b=5.169 c=21.954 alpha=90.00 beta=90.00 gamma=90.00
Space group Immm (No. 71)
Unique sites:
Tb 0.000 0.000 0.000 (multiplicity 2)
Tb 0.000 0.500 0.117 (multiplicity 4)
Pm 0.000 0.000 0.229 (multiplicity 4)
Al 0.000 0.000 0.500 (multiplicity 2)
Al 0.000 0.500 0.386 (multiplicity 4)

***

# 4
DFT (PBE-GGA) results for a geometry-optimized TbPm2Al structure.

Properties
E above lowest polymorph ... 0 meV/atom
Density ... 6.97 Mg/m³
Energy relative to the elements ... -0.187 eV per atom
Crystal system ... orthorhombic

Unit cell a=5.341 b=6.992 c=12.147 alpha=90.00 beta=90.00 gamma=90.00
Space group Amm2 (No. 38)
Unique sites:
Tb 0.000 0.234 0.000 (multiplicity 4)
Pm 0.000 0.000 0.235 (multiplicity 2)
Pm 0.500 0.000 0.590 (multiplicity 2)
Pm 0.500 0.233 0.824 (multiplicity 4)
Al 0.000 0.000 0.746 (multiplicity 2)
Al 0.500 0.000 0.076 (multiplicity 2)

***

# 5
DFT (PBE-GGA) results for a geometry-optimized TbPm2Al6 structure.

Properties
Density ... 5.13 Mg/m³
Energy relative to the elements ... -0.487 eV per atom
Crystal system ... hexagonal

Unit cell a=7.9592 b=7.9592 c=3.6057 alpha=90.00 beta=90.00 gamma=120.00
Space group P6/mmm (No. 191)
Unique sites:
Tb 0.0000 0.0000 0.0000 (multiplicity 1)
Pm 0.3333 0.6667 0.0000 (multiplicity 2)
Al 0.0000 0.3319 0.5000 (multiplicity 6)

***

# 6
DFT (PBE-GGA) results for a geometry-optimized Tb2Pm3Al2 structure.

Properties
Density ... 6.83 Mg/m³
Energy relative to the elements ... -0.054 eV per atom
Crystal system ... monoclinic

Unit cell a=4.658 b=3.455 c=12.410 alpha=90.00 beta=100.79 gamma=90.00
Space group P2/m (No. 10)
Unique sites:
Tb 0.208 0.000 0.416 (multiplicity 2)
Pm 0.367 0.500 0.734 (multiplicity 2)
Pm 0.500 0.500 0.000 (multiplicity 1)
Al 0.066 0.000 0.132 (multiplicity 2)

***

# 7
DFT (PBE-GGA) results for a geometry-optimized Tb2PmAl structure.

Properties
E above lowest polymorph ... 180 meV/atom
Density ... 7.29 Mg/m³
Energy relative to the elements ... -0.011 eV per atom
Crystal system ... cubic

Unit cell a=7.643 b=7.643 c=7.643 alpha=90.00 beta=90.00 gamma=90.00
Space group Fm-3m (No. 225)
Unique sites:
Tb 0.250 0.250 0.250 (multiplicity 8)
Pm 0.000 0.000 0.000 (multiplicity 4)
Al 0.000 0.000 0.500 (multiplicity 4)

***

# 8
DFT (PBE-GGA) results for a geometry-optimized Tb4PmAl structure.

Properties
E above lowest polymorph ... 0 meV/atom
Density ... 7.49 Mg/m³
Energy relative to the elements ... -0.115 eV per atom
Crystal system ... tetragonal

Unit cell a=3.573 b=3.573 c=14.028 alpha=90.00 beta=90.00 gamma=90.00
Space group P4/mmm (No. 123)
Unique sites:
Tb 0.000 0.000 0.134 (multiplicity 2)
Tb 0.500 0.500 0.317 (multiplicity 2)
Pm 0.000 0.000 0.500 (multiplicity 1)
Al 0.500 0.500 0.000 (multiplicity 1)

***

# 9
DFT (PBE-GGA) results for a geometry-optimized Tb12Pm7Al structure.

Properties
Density ... 7.60 Mg/m³
Energy relative to the elements ... 0.005 eV per atom
Crystal system ... triclinic

Unit cell a=6.337 b=9.763 c=11.614 alpha=65.66 beta=79.92 gamma=85.11
Space group P-1 (No. 2)
Unique sites:
Tb 0.048 0.344 0.452 (multiplicity 2)
Tb 0.209 0.737 0.229 (multiplicity 2)
Tb 0.231 0.449 0.801 (multiplicity 2)
Tb 0.311 0.417 0.142 (multiplicity 2)
Tb 0.312 0.116 0.725 (multiplicity 2)
Tb 0.414 0.813 0.600 (multiplicity 2)
Pm 0.133 0.039 0.345 (multiplicity 2)
Pm 0.134 0.738 0.915 (multiplicity 2)
Pm 0.387 0.136 0.034 (multiplicity 2)
Pm 0.500 0.500 0.500 (multiplicity 1)
Al 0.000 0.000 0.000 (multiplicity 1)

***

# 10
DFT (PBE-GGA) results for a geometry-optimized TbPm3Al2 structure.

Properties
E above lowest polymorph ... 0 meV/atom
Density ... 6.38 Mg/m³
Energy relative to the elements ... -0.264 eV per atom
Crystal system ... orthorhombic

Unit cell a=5.204 b=9.717 c=6.668 alpha=90.00 beta=90.00 gamma=90.00
Space group Pmc2_1 (No. 26)
Unique sites:
Tb 0.000 0.044 0.000 (multiplicity 2)
Pm 0.000 0.323 0.666 (multiplicity 2)
Pm 0.500 0.171 0.286 (multiplicity 2)
Pm 0.500 0.458 0.951 (multiplicity 2)
Al 0.000 0.350 0.183 (multiplicity 2)
Al 0.500 0.148 0.771 (multiplicity 2)

***

# 11
DFT (PBE-GGA) results for a geometry-optimized Tb12PmAl3 structure.

Properties
Density ... 7.76 Mg/m³
Energy relative to the elements ... -0.123 eV per atom
Crystal system ... tetragonal

Unit cell a=4.814 b=4.814 c=19.701 alpha=90.00 beta=90.00 gamma=90.00
Space group P4/mmm (No. 123)
Unique sites:
Tb 0.000 0.000 0.000 (multiplicity 1)
Tb 0.000 0.000 0.242 (multiplicity 2)
Tb 0.000 0.000 0.500 (multiplicity 1)
Tb 0.000 0.500 0.121 (multiplicity 4)
Tb 0.000 0.500 0.364 (multiplicity 4)
Pm 0.500 0.500 0.500 (multiplicity 1)
Al 0.500 0.500 0.000 (multiplicity 1)
Al 0.500 0.500 0.241 (multiplicity 2)

***

# 12
DFT (PBE-GGA) results for a geometry-optimized Tb6PmAl6 structure.

Properties
Density ... 6.46 Mg/m³
Energy relative to the elements ... -0.305 eV per atom
Crystal system ... hexagonal

Unit cell a=5.9407 b=5.9407 c=10.6012 alpha=90.00 beta=90.00 gamma=120.00
Space group P6/mmm (No. 191)
Unique sites:
Tb 0.0000 0.0000 0.1673 (multiplicity 2)
Tb 0.3333 0.6667 0.0000 (multiplicity 2)
Tb 0.3333 0.6667 0.5000 (multiplicity 2)
Pm 0.0000 0.0000 0.5000 (multiplicity 1)
Al 0.0000 0.5000 0.2548 (multiplicity 6)